## RbO2F2 (GGA-PBE)

Data for RbO2F2 after structural relaxation.

Output
total magnetization = 0.87 μB/f.u.
DOS(E_F) = 10.70 states/eV/cell
energy relative to the elements, uncorrected = 325 meV per atom
symmetry = P4/mmm (123)

abc: 4.9988 4.9988 5.5514
angles: 90.00 90.00 90.00
Last column: nearest neighbours and their distance in Å.
Element x y z (fractional)
Rb 0.0000 0.0000 0.0000  4 F 2.50, 2 O 2.78
F 0.5000 0.0000 0.0000  2 Rb 2.50
O 0.5000 0.5000 0.5000  4 O 3.53, 8 F 3.74
F 0.0000 0.5000 0.0000  2 Rb 2.50
O 0.0000 0.0000 0.5000  2 Rb 2.78

***

## Ac3In4Rh2 (GGA-PBE)

Data for Ac3In4Rh2 after structural relaxation.

Output
ΔE_f = -0.51 eV per atom
total magnetization = 0.00 μB/f.u.
DOS(E_F) = 7.27 states/eV/cell
symmetry = C2/m (12)

abc: 5.0337 6.2049 8.9753
angles: 97.90 90.00 113.93
Last column: nearest neighbours and their distance in Å.
Element x y z (fractional)
In 0.8958 0.7916 0.5990  3 Rh 2.72-2.74
Ac 0.0000 0.0000 0.0000  8 In 3.48-3.62
In 0.7100 0.4199 0.0920  1 Rh 2.71
Ac 0.3890 0.7779 0.3066  1 Rh 3.00
Rh 0.6931 0.3862 0.3903  4 In 2.71-2.74, 1 Ac 3.00
Ac 0.6110 0.2221 0.6934  1 Rh 3.00
Rh 0.3069 0.6138 0.6097  4 In 2.71-2.74, 1 Ac 3.00
In 0.1042 0.2084 0.4010  3 Rh 2.72-2.74
In 0.2900 0.5801 0.9080  1 Rh 2.71

***

## CaTb2Hg4 (GGA-PBE)

Data for CaTb2Hg4 after structural relaxation.

Output
ΔE_f = -0.34 eV per atom
total magnetization = 0.00 μB/f.u.
DOS(E_F) = 5.00 states/eV/cell
symmetry = R-3m (166)

abc: 5.1408 5.1408 9.0957
angles: 73.58 73.58 60.00
Last column: nearest neighbours and their distance in Å.
Element x y z (fractional)
Hg 0.8737 0.8737 0.3790  4 Tb 3.09-3.13, 1 Ca 3.26
Ca 0.0000 0.0000 0.0000  8 Hg 3.17-3.26
Tb 0.2460 0.2460 0.2619  8 Hg 3.09-3.37
Hg 0.6232 0.6232 0.1304  3 Ca 3.17, 4 Tb 3.18-3.37
Hg 0.1263 0.1263 0.6210  4 Tb 3.09-3.13, 1 Ca 3.26
Tb 0.7540 0.7540 0.7382  8 Hg 3.09-3.37
Hg 0.3768 0.3768 0.8696  3 Ca 3.17, 4 Tb 3.18-3.37

***

## FeTcCl2 (GGA-PBE)

Data for FeTcCl2 after structural relaxation.

Output
total magnetization = 2.00 μB/f.u.
DOS(E_F) = 6.09 states/eV/cell
energy relative to the elements, uncorrected = 612 meV per atom
symmetry = I-42d (122)

abc: 5.3073 5.3073 6.4103
angles: 65.55 65.55 90.00
Last column: nearest neighbours and their distance in Å.
Element x y z (fractional)
Tc 0.0000 0.0000 0.0000  4 Cl 2.33
Fe 0.5000 0.5000 0.0000  4 Cl 2.23
Cl 0.1412 0.6250 0.2500  2 Fe 2.23, 2 Tc 2.33
Cl 0.6088 0.1250 0.2500  2 Fe 2.23, 2 Tc 2.33
Fe 0.2500 0.7500 0.5000  4 Cl 2.23
Cl 0.3750 0.3912 0.7500  2 Fe 2.23, 2 Tc 2.33
Cl 0.8750 0.8588 0.7500  2 Fe 2.23, 2 Tc 2.33
Tc 0.7500 0.2500 0.5000  4 Cl 2.33

***

## Er3Al3Pt2 (GGA-PBE)

Data for Er3Al3Pt2 after structural relaxation.

Output
ΔE_f = -0.92 eV per atom
total magnetization = 0.00 μB/f.u.
DOS(E_F) = 26.40 states/eV/cell
symmetry = Pnma (62)

abc: 5.5958 8.0708 14.8648
angles: 90.00 90.00 90.00
Last column: nearest neighbours and their distance in Å.
Element x y z (fractional)
Pt 0.8732 0.1002 0.1076  4 Al 2.53-2.58
Er 0.8868 0.5381 0.8881  3 Pt 2.94-3.21, 6 Al 3.03-3.26
Al 0.3900 0.6837 0.9655  3 Pt 2.53-2.58
Al 0.3900 0.6837 0.5345  3 Pt 2.53-2.58
Er 0.8715 0.8180 0.2500  5 Al 3.01-3.21, 4 Pt 3.07-3.11
Er 0.3868 0.9619 0.3881  3 Pt 2.94-3.21, 6 Al 3.03-3.26
Er 0.8868 0.5381 0.6119  3 Pt 2.94-3.21, 6 Al 3.03-3.26
Al 0.6100 0.3163 0.0345  3 Pt 2.53-2.58
Al 0.6100 0.3163 0.4655  3 Pt 2.53-2.58
Al 0.1202 0.1668 0.2500  2 Pt 2.58
Er 0.6285 0.3180 0.2500  5 Al 3.01-3.21, 4 Pt 3.07-3.11
Er 0.1132 0.4619 0.1119  3 Pt 2.94-3.21, 6 Al 3.03-3.26
Al 0.1100 0.1837 0.5345  3 Pt 2.53-2.58
Pt 0.6268 0.6002 0.3924  4 Al 2.53-2.58
Al 0.8798 0.8332 0.7500  2 Pt 2.58
Er 0.3715 0.6820 0.7500  5 Al 3.01-3.21, 4 Pt 3.07-3.11
Al 0.1100 0.1837 0.9655  3 Pt 2.53-2.58
Pt 0.3732 0.3998 0.8924  4 Al 2.53-2.58
Pt 0.1268 0.8998 0.8924  4 Al 2.53-2.58
Al 0.3798 0.6668 0.2500  2 Pt 2.58
Pt 0.6268 0.6002 0.1076  4 Al 2.53-2.58
Pt 0.3732 0.3998 0.6076  4 Al 2.53-2.58
Er 0.6132 0.0381 0.6119  3 Pt 2.94-3.21, 6 Al 3.03-3.26
Al 0.8900 0.8163 0.0345  3 Pt 2.53-2.58
Al 0.8900 0.8163 0.4655  3 Pt 2.53-2.58
Pt 0.8732 0.1002 0.3924  4 Al 2.53-2.58
Er 0.1285 0.1820 0.7500  5 Al 3.01-3.21, 4 Pt 3.07-3.11
Pt 0.1268 0.8998 0.6076  4 Al 2.53-2.58
Er 0.6132 0.0381 0.8881  3 Pt 2.94-3.21, 6 Al 3.03-3.26
Er 0.3868 0.9619 0.1119  3 Pt 2.94-3.21, 6 Al 3.03-3.26
Er 0.1132 0.4619 0.3881  3 Pt 2.94-3.21, 6 Al 3.03-3.26
Al 0.6202 0.3332 0.7500  2 Pt 2.58

***

## Sb3Te2 (GGA-PBE)

Data for Sb3Te2 after structural relaxation.

Output
total magnetization = 0.00 μB/f.u.
DOS(E_F) = 2.44 states/eV/cell
energy relative to the elements, uncorrected = -48 meV per atom
symmetry = R-3m (166)

abc: 10.2446 10.2446 10.2446
angles: 24.25 24.25 24.25
Last column: nearest neighbours and their distance in Å.
Element x y z (fractional)
Sb 0.1935 0.1935 0.1935  3 Sb 2.96
Te 0.3956 0.3956 0.3956  6 Sb 3.10-3.40
Sb 0.0000 0.0000 0.0000  6 Te 3.10
Sb 0.8065 0.8065 0.8065  3 Sb 2.96
Te 0.6044 0.6044 0.6044  6 Sb 3.10-3.40

***

Let's list electronic total energy in order: -2.601 -4.735 -2.124 -5.018 -5.547 -3.778 eV per atom.